This record from Alexandria via LeMat-Bulk describes crystalline Cs4TlHg2Bi2 at its relaxed geometry. The functional is GGA-PBE.

```
Cs4TlHg2Bi2
1.0
5.515 0.338 0.230
1.984 10.191 0.445
1.984 4.156 9.316
Hg Cs Tl Bi
2 4 1 2
Cartesian
5.072 4.478 3.047
4.412 10.207 6.944
7.255 7.946 8.546
2.229 3.819 5.738
7.255 10.867 4.253
2.229 6.739 1.445
2.758 0.169 0.115
7.023 12.001 8.165
2.461 2.684 1.826
```

SG = No. 12
ΔE_f = -258 meV/atom
crystal system = monoclinic
magnetization = 0.00 μB per cell


This record from Alexandria via LeMat-Bulk describes crystalline NdGa4AgPd2 at its relaxed geometry. The functional is GGA-PBE.

```
NdGa4AgPd2
1.0
4.348 0.000 0.000
2.174 3.766 0.000
2.174 1.255 9.019
Ga Nd Pd Ag
4 1 2 1
Cartesian
6.522 3.766 3.338
4.348 2.510 1.741
4.348 2.510 7.278
2.174 1.255 5.681
0.000 0.000 0.000
2.174 1.255 2.569
6.522 3.766 6.450
4.348 2.510 4.509
```

SG = No. 166
ΔE_f = -502 meV/atom
crystal system = trigonal
magnetization = 0.00 μB per cell


This record from Alexandria via LeMat-Bulk describes crystalline LuZrU at its relaxed geometry. The functional is GGA-PBE.

```
LuZrU
1.0
-1.468 1.787 -2.134
-3.734 -3.588 -0.436
-0.455 3.811 3.504
Zr Lu U
1 1 1
Cartesian
-0.245 0.298 -0.356
-3.620 0.069 -0.545
-1.792 1.642 1.835
```

SG = No. 187
ΔE_f = 283 meV/atom
crystal system = hexagonal
magnetization = 2.10 μB per cell


- Look up the ΔE_f of the second one.
  -502 meV/atom


- Look up the ΔE_f of the third one.
  283 meV/atom


- Which of these has the highest magnetization?
  LuZrU


Please write out number 3 again, unchanged.
This record from Alexandria via LeMat-Bulk describes crystalline LuZrU at its relaxed geometry. The functional is GGA-PBE.

```
LuZrU
1.0
-1.468 1.787 -2.134
-3.734 -3.588 -0.436
-0.455 3.811 3.504
Zr Lu U
1 1 1
Cartesian
-0.245 0.298 -0.356
-3.620 0.069 -0.545
-1.792 1.642 1.835
```

SG = No. 187
ΔE_f = 283 meV/atom
crystal system = hexagonal
magnetization = 2.10 μB per cell